[1]
## Pm2PaBi (GGA-PBE)

Data for crystalline Pm2PaBi at its relaxed geometry.

abc: 3.9692 3.9692 7.5561
angles: 90.00 90.00 90.00
Space group P4/mmm (No. 123)
One atom of each set of equivalent atoms:
Pm (0.0000, 0.0000, 0.2344) x2
Pa (0.5000, 0.5000, 0.5000) x1
Bi (0.5000, 0.5000, 0.0000) x1

* crystal system: tetragonal
* distance to the lowest polymorph of the same formula: 0.00 eV/f.u.
* total energy: -5.876 eV/atom
* magnetization: 0.0 μB per formula unit
* E_form: -0.1561 eV per atom

[2]
## Rb2In2Bi3 (GGA-PBE)

Data for crystalline Rb2In2Bi3 at its relaxed geometry.

abc: 7.2636 9.9758 8.3033
angles: 90.00 98.14 90.00
Space group P2_1/c (No. 14)
One atom of each set of equivalent atoms:
Rb (0.2071, 0.1611, 0.4396) x4
In (0.3781, 0.6086, 0.6464) x4
Bi (0.0000, 0.0000, 0.0000) x2
Bi (0.3202, 0.6068, 0.2748) x4

* crystal system: monoclinic
* distance to the lowest polymorph of the same formula: 0.28 eV/f.u.
* total energy: -2.910 eV/atom
* magnetization: 0.0 μB per formula unit
* E_form: -0.1884 eV per atom